# 1
Sc2InAg: optimized geometry, PBE.

Structure (POSCAR):
```
Sc2InAg
1.0
4.953 0.000 0.000
0.000 14.859 0.000
0.000 0.000 7.007
Sc In Ag
12 6 6
Direct
0.000 0.000 0.250
0.000 0.000 0.750
0.000 0.333 0.250
0.000 0.333 0.750
0.000 0.667 0.250
0.000 0.667 0.750
0.500 0.167 0.250
0.500 0.167 0.750
0.500 0.500 0.250
0.500 0.500 0.750
0.500 0.833 0.250
0.500 0.833 0.750
0.000 0.500 0.000
0.001 0.167 0.000
0.499 0.667 0.500
0.500 0.000 0.500
0.501 0.333 0.500
0.999 0.833 0.000
0.000 0.500 0.500
0.002 0.833 0.500
0.498 0.333 0.000
0.500 0.000 0.000
0.502 0.667 0.000
0.998 0.167 0.500
```

Electronic total energy ... -4.9364 eV per atom

# 2
Sc2InAg: optimized geometry, PBE.

Structure (POSCAR):
```
Sc2InAg
1.0
3.441 0.000 0.000
0.000 3.441 0.000
0.000 0.000 7.224
Sc In Ag
2 1 1
Direct
0.000 0.000 0.235
0.000 0.000 0.765
0.500 0.500 0.500
0.500 0.500 0.000
```

Electronic total energy ... -4.9288 eV per atom

# 3
ScInAg: optimized geometry, PBE.

Structure (POSCAR):
```
ScInAg
1.0
0.000 3.338 3.338
3.338 0.000 3.338
3.338 3.338 0.000
Sc In Ag
1 1 1
Direct
0.000 0.000 0.000
0.250 0.250 0.250
0.750 0.750 0.750
```

Electronic total energy ... -3.8258 eV per atom

# 4
Sc2InAg: optimized geometry, PBE.

Structure (POSCAR):
```
Sc2InAg
1.0
3.449 -3.515 0.000
3.449 3.515 0.000
0.000 0.000 3.531
Sc In Ag
2 1 1
Direct
0.000 0.500 0.000
0.500 0.000 0.000
0.000 0.000 0.500
0.500 0.500 0.500
```

Electronic total energy ... -4.9185 eV per atom

Q: Look up the electronic total energy of the second one.
A: -4.9288 eV per atom

Repeat the third record exactly.
ScInAg: optimized geometry, PBE.

Structure (POSCAR):
```
ScInAg
1.0
0.000 3.338 3.338
3.338 0.000 3.338
3.338 3.338 0.000
Sc In Ag
1 1 1
Direct
0.000 0.000 0.000
0.250 0.250 0.250
0.750 0.750 0.750
```

Electronic total energy ... -3.8258 eV per atom